W2SeBr: relaxed, PBE-GGA.

Cell: 3.373 3.180 8.403 Å, 90.00 100.63 90.00°
Atoms (fractional coordinates):
W1 0.000 0.000 0.000
W2 0.367 0.500 0.830
Se1 0.508 0.500 0.176
Br1 0.238 0.000 0.578

Values from the calculation:
space group: Pm (6)
ΔE_f (raw): 141 meV per atom
distance to the lowest polymorph of the same formula: 0.000 eV per atom
magnetic moment: 0.000 μB/cell


BeCdIrO5: relaxed, PBE-GGA.

Cell: 5.430 5.430 7.117 Å, 104.84 104.84 106.53°
Atoms (fractional coordinates):
Be1 0.190 0.810 0.750
Be2 0.810 0.190 0.250
Cd1 0.162 0.838 0.250
Cd2 0.838 0.162 0.750
Ir1 0.500 0.500 0.000
Ir2 0.500 0.500 0.500
O1 0.125 0.252 0.409
O2 0.192 0.607 0.884
O3 0.252 0.125 0.909
O4 0.393 0.808 0.616
O5 0.420 0.580 0.250
O6 0.580 0.420 0.750
O7 0.607 0.192 0.384
O8 0.748 0.875 0.091
O9 0.808 0.393 0.116
O10 0.875 0.748 0.591

Values from the calculation:
space group: C2/c (15)
ΔE_f (raw): -1179 meV per atom
magnetic moment: 0.599 μB/cell


Ca2Al3Ag5: relaxed, PBE-GGA.

Cell: 9.123 9.123 9.123 Å, 109.44 82.36 143.14°
Atoms (fractional coordinates):
Ca1 0.149 0.229 0.378
Ca2 0.351 0.729 0.079
Ca3 0.649 0.271 0.921
Ca4 0.851 0.771 0.622
Al1 0.151 0.921 0.072
Al2 0.250 0.750 0.500
Al3 0.349 0.421 0.769
Al4 0.651 0.579 0.231
Al5 0.750 0.250 0.500
Al6 0.849 0.079 0.928
Ag1 0.052 0.750 0.302
Ag2 0.080 0.691 0.771
Ag3 0.250 0.250 0.000
Ag4 0.420 0.191 0.611
Ag5 0.448 0.750 0.698
Ag6 0.552 0.250 0.302
Ag7 0.580 0.809 0.389
Ag8 0.750 0.750 0.000
Ag9 0.920 0.309 0.229
Ag10 0.948 0.250 0.698

Values from the calculation:
space group: Ibam (72)
E_tot: -0.23441 Ry/atom
magnetic moment: 0.000 μB/cell


CeTlCd2: relaxed, PBE-GGA.

Cell: 5.256 5.256 5.256 Å, 119.94 119.94 90.11°
Atoms (fractional coordinates):
Ce1 0.000 0.000 0.000
Tl1 0.750 0.250 0.500
Cd1 0.250 0.750 0.500
Cd2 0.500 0.500 0.000

Values from the calculation:
space group: I-4m2 (119)
distance to the lowest polymorph of the same formula: 0.006 eV per atom
magnetic moment: 1.014 μB/cell


Dy2YTm2Mg2: relaxed, PBE-GGA.

Cell: 8.548 8.548 8.548 Å, 36.87 36.87 36.87°
Atoms (fractional coordinates):
Dy1 0.073 0.073 0.073
Dy2 0.927 0.927 0.927
Y1 0.500 0.500 0.500
Tm1 0.345 0.345 0.345
Tm2 0.655 0.655 0.655
Mg1 0.211 0.211 0.211
Mg2 0.789 0.789 0.789

Values from the calculation:
space group: R-3m (166)
E_tot: -0.29398 Ry/atom
magnetic moment: 0.000 μB/cell


CsB12: relaxed, PBE-GGA.

Cell: 5.199 5.199 5.199 Å, 90.00 90.00 90.00°
Atoms (fractional coordinates):
Cs1 0.000 0.000 0.000
B1 0.000 0.261 0.500
B2 0.000 0.500 0.261
B3 0.000 0.500 0.739
B4 0.000 0.739 0.500
B5 0.261 0.000 0.500
B6 0.261 0.500 0.000
B7 0.500 0.000 0.261
B8 0.500 0.000 0.739
B9 0.500 0.261 0.000
B10 0.500 0.739 0.000
B11 0.739 0.000 0.500
B12 0.739 0.500 0.000

Values from the calculation:
space group: Pm-3m (221)
E_tot: -0.37919 Ry/atom
magnetic moment: 0.000 μB/cell